! K6Os3O14 | Alexandria via LeMat-Bulk | GGA-PBE | optimized geometry; values from VASP
! total moment = 0.082 μB/atom
! E_tot = -6.0829 eV/atom
&SYSTEM
  ibrav = 0, nat = 23, ntyp = 3
/
ATOMIC_SPECIES
K 39.10 K.upf
Os 190.23 Os.upf
O 16.00 O.upf
CELL_PARAMETERS angstrom
9.5229 0.0000 0.0000
-4.7614 8.2471 0.0000
0.0000 0.0000 5.8508
ATOMIC_POSITIONS crystal
K 0.1215 0.7525 0.0000
K 0.2475 0.3690 0.0000
K 0.3135 0.1068 0.5545
K 0.6310 0.8785 0.0000
K 0.7933 0.6865 0.5545
K 0.8932 0.2067 0.5545
Os 0.0000 0.0000 0.1632
Os 0.3333 0.6667 0.5474
Os 0.6667 0.3333 0.0981
O 0.0636 0.8793 0.3484
O 0.1207 0.1843 0.3484
O 0.1377 0.5352 0.6620
O 0.1843 0.0628 0.9786
O 0.3333 0.6667 0.2439
O 0.3975 0.8623 0.6620
O 0.4648 0.6025 0.6620
O 0.5488 0.4141 0.2037
O 0.5859 0.1347 0.2037
O 0.6667 0.3333 0.7964
O 0.8157 0.9364 0.3484
O 0.8653 0.4512 0.2037
O 0.8785 0.8157 0.9786
O 0.9372 0.1215 0.9786